NaNiRhSe3 | GGA-PBE | relaxed

Cell and atoms, written as POSCAR:
```
NaNiRhSe3
1.0
-3.4326 1.4225 0.4769
-0.5682 -3.6772 6.8790
3.5387 8.0777 1.3771
Se Ni Na Rh
6 2 2 2
Cartesian
-2.6506 -1.2221 6.6380 Se
2.1885 7.0452 2.0950 Se
-0.7932 4.6048 2.6263 Se
1.8784 5.3163 5.0202 Se
0.3311 1.2182 6.1067 Se
-2.3405 0.5067 3.7128 Se
1.2709 5.0087 1.5650 Ni
-1.7330 0.8144 7.1680 Ni
-0.0642 1.6440 1.9912 Na
-0.3979 4.1791 6.7418 Na
-0.6904 -0.8897 5.0413 Rh
0.2283 6.7127 3.6917 Rh
```

Summary:
As for the raw formation energy: -522 meV per atom. Its crystal system is monoclinic. Its space group is P2_1/m.

Nd2ZnAs4Rh3 | GGA-PBE | relaxed

Cell and atoms, written as POSCAR:
```
Nd2ZnAs4Rh3
1.0
4.3047 0.0000 0.0000
0.0000 4.3047 0.0000
0.0000 0.0000 10.1958
As Nd Rh Zn
4 2 3 1
Cartesian
2.1523 0.0000 6.5284 As
0.0000 2.1523 3.6674 As
2.1523 2.1523 0.0000 As
0.0000 0.0000 0.0000 As
2.1523 0.0000 2.4706 Nd
0.0000 2.1523 7.7252 Nd
2.1523 0.0000 8.9735 Rh
0.0000 0.0000 5.0979 Rh
0.0000 2.1523 1.2222 Rh
2.1523 2.1523 5.0979 Zn
```

Summary:
Its crystal system is tetragonal. The calculation puts the energy of formation at -0.83 eV/atom. Its space group is P-4m2.

AcHoZn2 | GGA-PBE | relaxed

Cell and atoms, written as POSCAR:
```
AcHoZn2
1.0
-3.3722 0.8200 1.5461
-1.3476 -2.1177 2.8519
2.5142 5.0537 7.4714
Ac Zn Ho
1 2 1
Cartesian
-1.1028 1.8780 5.9347 Ac
-0.6498 0.8069 2.8227 Zn
-1.5558 2.9491 9.0466 Zn
0.0000 0.0000 0.0000 Ho
```

Summary:
Its crystal system is trigonal. The calculation puts the energy of formation at -0.06 eV/atom. Its space group is R-3m.

| no. | DOS(E_F) (states/eV/f.u.) |
| --- | --- |
| 1 | 2.9 |
| 2 | 4.3 |
| 3 | 4.5 |